! ScTa3Fe, relaxed, DFT PBE-GGA; values from VASP
! Distance to the lowest polymorph of the same formula, meV/atom: 1764
! Space-group type: Pm-3m
! Density, g cm⁻³: 10.55
! ΔH_f (0 K), meV/atom: 2321
! Uncorrected energy, eV/atom: -7.7495
&SYSTEM
  ibrav = 0, nat = 5, ntyp = 3
/
ATOMIC_SPECIES
Sc 44.96 Sc.upf
Ta 180.95 Ta.upf
Fe 55.84 Fe.upf
CELL_PARAMETERS angstrom
4.662 0.000 0.000
0.000 4.662 0.000
0.000 0.000 4.662
ATOMIC_POSITIONS angstrom
Sc 0.000 0.000 0.000
Ta 0.000 0.000 2.331
Ta 0.000 2.331 0.000
Ta 2.331 0.000 0.000
Fe 2.331 2.331 2.331